# 1
Density functional theory data (GGA-PBE) for a relaxed structure of Ce2PdPt.

## Properties
The value obtained for the total energy is -0.2417 Ha/atom. The density of states at the Fermi level is 11.7 states/eV/cell. The magnetic moment comes out at 1.9 μB/cell.

a = 5.038 Å, b = 5.038 Å, c = 3.581 Å
α = 90.00°, β = 90.00°, γ = 90.00°
Space group P4/mmm (No. 123)
One atom of each set of equivalent atoms:
Ce 0.000 0.500 0.000 x2
Pd 0.000 0.000 0.500 x1
Pt 0.500 0.500 0.500 x1


# 2
Density functional theory data (GGA-PBE) for a relaxed structure of Ce12PdPt6.

## Properties
The value obtained for the total energy is -0.2400 Ha/atom. The density of states at the Fermi level is 206.0 states/eV/cell. The magnetic moment comes out at 33.3 μB/cell.

a = 12.3713 Å, b = 12.3713 Å, c = 12.3978 Å
α = 90.00°, β = 90.00°, γ = 120.00°
Space group R-3 (No. 148, hexagonal axes)
One atom of each set of equivalent atoms:
Ce 0.0241 0.8147 0.3980 x18
Ce 0.0696 0.8513 0.8767 x18
Pd 0.0000 0.0000 0.0000 x3
Pt 0.0399 0.7684 0.6413 x18


# 3
Density functional theory data (GGA-PBE) for a relaxed structure of CePd8Pt2.

## Properties
The value obtained for the total energy is -0.2072 Ha/atom. The density of states at the Fermi level is 25.1 states/eV/cell. The magnetic moment comes out at 0.0 μB/cell.

a = 13.231 Å, b = 5.389 Å, c = 5.431 Å
α = 90.00°, β = 102.64°, γ = 90.00°
Space group C2/m (No. 12)
One atom of each set of equivalent atoms:
Ce 0.000 0.000 0.000 x2
Pd 0.081 0.500 0.195 x4
Pd 0.092 0.254 0.667 x8
Pd 0.245 0.000 0.989 x4
Pt 0.234 0.000 0.468 x4


# 4
Density functional theory data (GGA-PBE) for a relaxed structure of Ce2Pd9Pt.

## Properties
The value obtained for the total energy is -0.2186 Ha/atom. The density of states at the Fermi level is 8.7 states/eV/cell. The magnetic moment comes out at 0.2 μB/cell.

a = 4.120 Å, b = 4.120 Å, c = 12.073 Å
α = 90.00°, β = 90.00°, γ = 90.00°
Space group P4/mmm (No. 123)
One atom of each set of equivalent atoms:
Ce 0.000 0.000 0.178 x2
Pd 0.000 0.500 0.000 x2
Pd 0.000 0.500 0.339 x4
Pd 0.500 0.500 0.169 x2
Pd 0.500 0.500 0.500 x1
Pt 0.000 0.000 0.500 x1